# 1
Material: KScSn
Method: DFT, GGA-PBE
State: relaxed

Values from the calculation:
- excess energy over the best structure of this formula in the dataset (meV per atom) = 218.3
- spin magnetization (Bohr magnetons per cell) = 0.00
- final energy (eV/f.u.) = -11.87
- E_form (eV per atom) = -0.147

```
6
Lattice="5.4960 0.0000 0.0000 -2.7480 4.7596 0.0000 0.0000 0.0000 6.3956" Properties=species:S:1:pos:R:3 pbc="T T T"
K 0.0000 0.0000 0.0000
K 0.0000 0.0000 3.1978
Sc 0.0000 3.1731 1.5989
Sc 2.7480 1.5865 4.7967
Sn 0.0000 3.1731 4.7967
Sn 2.7480 1.5865 1.5989
```

***

# 2
Material: KScSn
Method: DFT, GGA-PBE
State: relaxed

Values from the calculation:
- excess energy over the best structure of this formula in the dataset (meV per atom) = 0.0
- spin magnetization (Bohr magnetons per cell) = 0.00
- final energy (eV/f.u.) = -12.53
- E_form (eV per atom) = -0.366

```
6
Lattice="5.1191 0.0000 0.0000 0.0000 5.1191 0.0000 0.0000 0.0000 8.0362" Properties=species:S:1:pos:R:3 pbc="T T T"
K 1.2798 1.2798 1.1183
K 3.8394 3.8394 6.9179
Sc 1.2798 3.8394 4.0181
Sc 3.8394 1.2798 4.0181
Sn 1.2798 1.2798 5.4644
Sn 3.8394 3.8394 2.5719
```

***

# 3
Material: KScSn
Method: DFT, GGA-PBE
State: relaxed

Values from the calculation:
- excess energy over the best structure of this formula in the dataset (meV per atom) = 22.4
- spin magnetization (Bohr magnetons per cell) = 0.00
- final energy (eV/f.u.) = -12.46
- E_form (eV per atom) = -0.343

```
6
Lattice="3.4761 0.0000 0.0000 0.0000 4.4770 0.0000 -0.0810 0.0000 13.2014" Properties=species:S:1:pos:R:3 pbc="T T T"
K 0.8277 1.1193 2.0385
K 2.5674 3.3578 11.1628
Sc 0.8276 1.1193 5.6476
Sc 2.5675 3.3578 7.5538
Sn 0.8299 1.1193 8.6697
Sn 2.5652 3.3578 4.5317
```